(1)
Material: ScZnAs3
Method: DFT, meta-GGA SCAN
State: PBEsol geometry

**Calculated volume**: 24.9 A^3/atom
**Energy relative to the elements**: 0.400 eV per atom
**Total magnetic moment**: 0.0 μB/f.u.

The structure in POSCAR format:
```
ScZnAs3
1.0
-1.2345 -2.2061 4.3095
-1.6810 -3.9754 -2.5166
4.5401 -2.0717 0.2400
Sc As Zn
1 3 1
direct
0.0000 0.0000 0.0000 Sc
0.0000 0.5000 0.0000 As
0.0000 0.0000 0.5000 As
0.5000 0.0000 0.0000 As
0.5000 0.5000 0.5000 Zn
```



(2)
Material: LiMg2Ir
Method: DFT, meta-GGA SCAN
State: PBEsol geometry

**Calculated volume**: 15.6 A^3/atom
**Energy relative to the elements**: -0.357 eV per atom
**Total magnetic moment**: 0.0 μB/f.u.

The structure in POSCAR format:
```
LiMg2Ir
1.0
3.1047 0.0000 0.0000
0.0000 4.4803 0.0000
0.0000 0.0000 4.4808
Mg Ir Li
2 1 1
direct
0.0000 0.0000 0.1244 Mg
0.0000 0.5000 0.6253 Mg
0.5000 0.0000 0.6243 Ir
0.5000 0.5000 0.1259 Li
```